(1)
# MnAg5Au6

A relaxed structure of MnAg5Au6 (PBE-GGA, the Alexandria database).

abc: 4.161 8.225 7.734
angles: 122.12 105.69 90.00
Element x y z (fractional)
Mn (0.000, 0.000, 0.000)
Au (0.836, 0.592, 0.671)
Au (0.836, 0.079, 0.671)
Au (0.500, 0.762, 0.000)
Au (0.500, 0.238, 0.000)
Au (0.164, 0.921, 0.329)
Au (0.164, 0.408, 0.329)
Ag (0.670, 0.170, 0.340)
Ag (0.337, 0.337, 0.674)
Ag (0.000, 0.500, 0.000)
Ag (0.663, 0.663, 0.326)
Ag (0.330, 0.830, 0.660)

## Properties
Energy of formation from the pure elements in eV per formula unit: -0.5
Energy in eV per atom: -3.629
DOS at the Fermi energy in states/eV/atom: 0.3196
Crystal system: monoclinic

---

(2)
# Mn2AgAu

A relaxed structure of Mn2AgAu (PBE-GGA, the Alexandria database).

abc: 7.301 7.301 5.849
angles: 51.38 51.38 90.00
Element x y z (fractional)
Mn (0.633, 0.125, 0.250)
Mn (0.117, 0.625, 0.250)
Mn (0.375, 0.367, 0.750)
Mn (0.875, 0.883, 0.750)
Au (0.000, 0.000, 0.000)
Au (0.750, 0.250, 0.500)
Ag (0.500, 0.500, 0.000)
Ag (0.250, 0.750, 0.500)

## Properties
Energy of formation from the pure elements in eV per formula unit: 1.9
Energy in eV per atom: -5.632
DOS at the Fermi energy in states/eV/atom: 0.8451
Crystal system: tetragonal

---

(3)
# Mn2AgAu

A relaxed structure of Mn2AgAu (PBE-GGA, the Alexandria database).

abc: 3.213 3.272 7.137
angles: 62.72 90.00 90.00
Element x y z (fractional)
Ag (0.500, 0.250, 0.250)
Au (0.500, 0.750, 0.750)
Mn (0.000, 0.003, 0.997)
Mn (0.000, 0.497, 0.503)

## Properties
Energy of formation from the pure elements in eV per formula unit: 0.6
Energy in eV per atom: -5.965
DOS at the Fermi energy in states/eV/atom: 0.4132
Crystal system: orthorhombic

---

(4)
# MnAg3Au3

A relaxed structure of MnAg3Au3 (PBE-GGA, the Alexandria database).

abc: 5.702 5.702 8.253
angles: 90.00 90.00 81.26
Element x y z (fractional)
Mn (0.223, 0.223, 0.000)
Mn (0.777, 0.777, 0.000)
Ag (0.227, 0.227, 0.500)
Ag (0.292, 0.708, 0.500)
Ag (0.708, 0.292, 0.500)
Ag (0.306, 0.694, 0.000)
Ag (0.694, 0.306, 0.000)
Ag (0.773, 0.773, 0.500)
Au (0.000, 0.000, 0.760)
Au (0.500, 0.000, 0.239)
Au (0.000, 0.500, 0.239)
Au (0.500, 0.000, 0.761)
Au (0.000, 0.500, 0.761)
Au (0.000, 0.000, 0.240)

## Properties
Energy of formation from the pure elements in eV per formula unit: 0.5
Energy in eV per atom: -3.865
DOS at the Fermi energy in states/eV/atom: 0.3808
Crystal system: orthorhombic

---

(5)
# MnNbAg2Au

A relaxed structure of MnNbAg2Au (PBE-GGA, the Alexandria database).

abc: 5.137 5.069 5.137
angles: 90.00 90.00 90.00
Element x y z (fractional)
Nb (0.000, 0.000, 0.000)
Mn (0.500, 0.500, 0.500)
Au (0.000, 0.500, 0.000)
Ag (0.000, 0.000, 0.500)
Ag (0.500, 0.000, 0.000)

## Properties
Energy of formation from the pure elements in eV per formula unit: 7.2
Energy in eV per atom: -4.210
DOS at the Fermi energy in states/eV/atom: 0.9811
Crystal system: tetragonal

---

(6)
# MnNi2AgAu

A relaxed structure of MnNi2AgAu (PBE-GGA, the Alexandria database).

abc: 4.621 5.009 4.621
angles: 90.00 90.00 90.00
Element x y z (fractional)
Ni (0.000, 0.000, 0.500)
Ni (0.500, 0.000, 0.000)
Mn (0.500, 0.500, 0.500)
Au (0.000, 0.500, 0.000)
Ag (0.000, 0.000, 0.000)

## Properties
Energy of formation from the pure elements in eV per formula unit: 6.5
Energy in eV per atom: -4.065
DOS at the Fermi energy in states/eV/atom: 0.8729
Crystal system: tetragonal